[1]
Below is ThScBi2 after structural relaxation, with properties calculated at the PBE level.

Output
* ΔE to the lowest computed polymorph: 150.8 meV/atom
* calculated total energy: -23.345 eV/f.u.
* energy relative to the elements: -1.83 eV/f.u.
* total magnetic moment: 0.71 μB per formula unit
* DOS at the Fermi energy: 3.61 states/eV/cell

Geometry as CIF:
```
data_ThScBi2
_chemical_formula_sum 'Th1 Sc1 Bi2'
_space_group_name_H-M_alt 'P 4/m m m'
_space_group_IT_number 123
_space_group_name_Hall '-P 4 2'
_cell_length_a 5.6185
_cell_length_b 5.6185
_cell_length_c 3.6286
_cell_angle_alpha 90.00
_cell_angle_beta 90.00
_cell_angle_gamma 90.00
loop_
_atom_site_label
_atom_site_fract_x
_atom_site_fract_y
_atom_site_fract_z
Th1 0.0000 0.0000 0.0000
Sc1 0.5000 0.5000 0.0000
Bi1 0.0000 0.5000 0.5000
```


[2]
Below is Th3Sc2Bi3 after structural relaxation, with properties calculated at the PBE level.

Output
* ΔE to the lowest computed polymorph: 0.0 meV/atom
* calculated total energy: -50.210 eV/f.u.
* energy relative to the elements: -3.64 eV/f.u.
* total magnetic moment: 0.47 μB per formula unit
* DOS at the Fermi energy: 17.01 states/eV/cell

Geometry as CIF:
```
data_Th3Sc2Bi3
_chemical_formula_sum 'Th6 Sc4 Bi6'
_space_group_name_H-M_alt 'P 63/m c m'
_space_group_IT_number 193
_space_group_name_Hall '-P 6c 2'
_cell_length_a 9.2420
_cell_length_b 9.2420
_cell_length_c 6.2515
_cell_angle_alpha 90.00
_cell_angle_beta 90.00
_cell_angle_gamma 120.00
loop_
_atom_site_label
_atom_site_fract_x
_atom_site_fract_y
_atom_site_fract_z
Th1 0.0000 0.2388 0.2500
Sc1 0.3333 0.6667 0.0000
Bi1 0.0000 0.4046 0.7500
```


[3]
Below is ThSc2Bi after structural relaxation, with properties calculated at the PBE level.

Output
* ΔE to the lowest computed polymorph: 0.0 meV/atom
* calculated total energy: -25.247 eV/f.u.
* energy relative to the elements: -1.28 eV/f.u.
* total magnetic moment: 0.00 μB per formula unit
* DOS at the Fermi energy: 3.76 states/eV/cell

Geometry as CIF:
```
data_ThSc2Bi
_chemical_formula_sum 'Th1 Sc2 Bi1'
_space_group_name_H-M_alt 'P 4/m m m'
_space_group_IT_number 123
_space_group_name_Hall '-P 4 2'
_cell_length_a 3.8165
_cell_length_b 3.8165
_cell_length_c 7.1663
_cell_angle_alpha 90.00
_cell_angle_beta 90.00
_cell_angle_gamma 90.00
loop_
_atom_site_label
_atom_site_fract_x
_atom_site_fract_y
_atom_site_fract_z
Th1 0.0000 0.0000 0.0000
Sc1 0.5000 0.5000 0.2747
Bi1 0.0000 0.0000 0.5000
```


[4]
Below is ThScBi after structural relaxation, with properties calculated at the PBE level.

Output
* calculated total energy: -18.577 eV/f.u.
* energy relative to the elements: -0.94 eV/f.u.
* total magnetic moment: 0.00 μB per formula unit
* DOS at the Fermi energy: 5.66 states/eV/cell

Geometry as CIF:
```
data_ThScBi
_chemical_formula_sum 'Th2 Sc2 Bi2'
_space_group_name_H-M_alt 'I 4 m m'
_space_group_IT_number 107
_space_group_name_Hall 'I 4 -2'
_cell_length_a 3.9066
_cell_length_b 3.9066
_cell_length_c 11.3337
_cell_angle_alpha 90.00
_cell_angle_beta 90.00
_cell_angle_gamma 90.00
loop_
_atom_site_label
_atom_site_fract_x
_atom_site_fract_y
_atom_site_fract_z
Th1 0.0000 0.0000 0.0000
Sc1 0.0000 0.0000 0.3126
Bi1 0.0000 0.0000 0.6861
```


[5]
Below is ThScBi3 after structural relaxation, with properties calculated at the PBE level.

Output
* calculated total energy: -27.862 eV/f.u.
* energy relative to the elements: -2.47 eV/f.u.
* total magnetic moment: 0.00 μB per formula unit
* DOS at the Fermi energy: 6.45 states/eV/cell

Geometry as CIF:
```
data_ThScBi3
_chemical_formula_sum 'Th4 Sc4 Bi12'
_space_group_name_H-M_alt 'P n m a'
_space_group_IT_number 62
_space_group_name_Hall '-P 2ac 2n'
_cell_length_a 8.1804
_cell_length_b 4.5164
_cell_length_c 16.4402
_cell_angle_alpha 90.00
_cell_angle_beta 90.00
_cell_angle_gamma 90.00
loop_
_atom_site_label
_atom_site_fract_x
_atom_site_fract_y
_atom_site_fract_z
Th1 0.0518 0.2500 0.1819
Sc1 0.1685 0.7500 0.4554
Bi1 0.0471 0.7500 0.6208
Bi2 0.1381 0.7500 0.0342
Bi3 0.2307 0.2500 0.7804
```


[6]
Below is Th3ScBi2 after structural relaxation, with properties calculated at the PBE level.

Output
* calculated total energy: -38.561 eV/f.u.
* energy relative to the elements: -2.21 eV/f.u.
* total magnetic moment: 0.01 μB per formula unit
* DOS at the Fermi energy: 25.85 states/eV/cell

Geometry as CIF:
```
data_Th3ScBi2
_chemical_formula_sum 'Th12 Sc4 Bi8'
_space_group_name_H-M_alt 'I b a m'
_space_group_IT_number 72
_space_group_name_Hall '-I 2 2c'
_cell_length_a 6.4226
_cell_length_b 17.8832
_cell_length_c 6.4206
_cell_angle_alpha 90.00
_cell_angle_beta 90.00
_cell_angle_gamma 90.00
loop_
_atom_site_label
_atom_site_fract_x
_atom_site_fract_y
_atom_site_fract_z
Th1 0.0000 0.0000 0.2500
Th2 0.2377 0.1801 0.0000
Sc1 0.0000 0.5000 0.2500
Bi1 0.2280 0.3672 0.0000
```


[7]
Below is ThSc2Bi after structural relaxation, with properties calculated at the PBE level.

Output
* ΔE to the lowest computed polymorph: 32.1 meV/atom
* calculated total energy: -25.118 eV/f.u.
* energy relative to the elements: -1.15 eV/f.u.
* total magnetic moment: 0.00 μB per formula unit
* DOS at the Fermi energy: 4.64 states/eV/cell

Geometry as CIF:
```
data_ThSc2Bi
_chemical_formula_sum 'Th1 Sc2 Bi1'
_space_group_name_H-M_alt 'P 4/m m m'
_space_group_IT_number 123
_space_group_name_Hall '-P 4 2'
_cell_length_a 4.8614
_cell_length_b 4.8614
_cell_length_c 4.4027
_cell_angle_alpha 90.00
_cell_angle_beta 90.00
_cell_angle_gamma 90.00
loop_
_atom_site_label
_atom_site_fract_x
_atom_site_fract_y
_atom_site_fract_z
Th1 0.0000 0.0000 0.0000
Sc1 0.0000 0.5000 0.5000
Bi1 0.5000 0.5000 0.0000
```


[8]
Below is Th3Sc2Bi4 after structural relaxation, with properties calculated at the PBE level.

Output
* calculated total energy: -54.923 eV/f.u.
* energy relative to the elements: -4.48 eV/f.u.
* total magnetic moment: 0.24 μB per formula unit
* DOS at the Fermi energy: 17.44 states/eV/cell

Geometry as CIF:
```
data_Th3Sc2Bi4
_chemical_formula_sum 'Th6 Sc4 Bi8'
_space_group_name_H-M_alt 'C 1 2/m 1'
_space_group_IT_number 12
_space_group_name_Hall '-C 2y'
_cell_length_a 15.4919
_cell_length_b 4.3543
_cell_length_c 10.0835
_cell_angle_alpha 90.00
_cell_angle_beta 126.08
_cell_angle_gamma 90.00
loop_
_atom_site_label
_atom_site_fract_x
_atom_site_fract_y
_atom_site_fract_z
Th1 0.0000 0.0000 0.0000
Th2 0.1374 0.5000 0.7039
Sc1 0.1858 0.5000 0.3597
Bi1 0.0624 0.0000 0.3901
Bi2 0.1755 0.5000 0.0604
```


[9]
Below is ThSc3Bi2 after structural relaxation, with properties calculated at the PBE level.

Output
* calculated total energy: -36.329 eV/f.u.
* energy relative to the elements: -2.15 eV/f.u.
* total magnetic moment: 0.52 μB per formula unit
* DOS at the Fermi energy: 26.07 states/eV/cell

Geometry as CIF:
```
data_ThSc3Bi2
_chemical_formula_sum 'Th4 Sc12 Bi8'
_space_group_name_H-M_alt 'C 1 2/m 1'
_space_group_IT_number 12
_space_group_name_Hall '-C 2y'
_cell_length_a 18.5671
_cell_length_b 4.2715
_cell_length_c 9.0238
_cell_angle_alpha 90.00
_cell_angle_beta 112.89
_cell_angle_gamma 90.00
loop_
_atom_site_label
_atom_site_fract_x
_atom_site_fract_y
_atom_site_fract_z
Th1 0.1114 0.0000 0.1220
Sc1 0.0701 0.0000 0.6663
Sc2 0.1451 0.5000 0.4822
Sc3 0.1893 0.5000 0.8952
Bi1 0.0120 0.5000 0.8181
Bi2 0.2457 0.0000 0.7127
```


[10]
Below is Th2ScBi2 after structural relaxation, with properties calculated at the PBE level.

Output
* ΔE to the lowest computed polymorph: 265.2 meV/atom
* calculated total energy: -30.152 eV/f.u.
* energy relative to the elements: -1.22 eV/f.u.
* total magnetic moment: 0.00 μB per formula unit
* DOS at the Fermi energy: 21.10 states/eV/cell

Geometry as CIF:
```
data_Th2ScBi2
_chemical_formula_sum 'Th8 Sc4 Bi8'
_space_group_name_H-M_alt 'C m c m'
_space_group_IT_number 63
_space_group_name_Hall '-C 2c 2'
_cell_length_a 7.8242
_cell_length_b 15.3874
_cell_length_c 5.1430
_cell_angle_alpha 90.00
_cell_angle_beta 90.00
_cell_angle_gamma 90.00
loop_
_atom_site_label
_atom_site_fract_x
_atom_site_fract_y
_atom_site_fract_z
Th1 0.0000 0.0860 0.2500
Th2 0.0000 0.2919 0.7500
Sc1 0.0000 0.5000 0.0000
Bi1 0.2469 0.3745 0.2500
```


[11]
Below is ThSc3Bi4 after structural relaxation, with properties calculated at the PBE level.

Output
* calculated total energy: -46.965 eV/f.u.
* energy relative to the elements: -5.03 eV/f.u.
* total magnetic moment: 0.00 μB per formula unit
* DOS at the Fermi energy: 4.15 states/eV/cell

Geometry as CIF:
```
data_ThSc3Bi4
_chemical_formula_sum 'Th2 Sc6 Bi8'
_space_group_name_H-M_alt 'C m m m'
_space_group_IT_number 65
_space_group_name_Hall '-C 2 2'
_cell_length_a 8.6983
_cell_length_b 12.3287
_cell_length_c 4.3802
_cell_angle_alpha 90.00
_cell_angle_beta 90.00
_cell_angle_gamma 90.00
loop_
_atom_site_label
_atom_site_fract_x
_atom_site_fract_y
_atom_site_fract_z
Th1 0.0000 0.0000 0.0000
Sc1 0.0000 0.5000 0.0000
Sc2 0.2500 0.2500 0.5000
Bi1 0.0000 0.2583 0.0000
Bi2 0.2325 0.5000 0.5000
```